# 1
First-principles (PBE) data for MnCuPt6 after structural relaxation, as listed in Alexandria.

The final energy comes out at -6.40 eV/atom. For the density of states at the Fermi level, the calculation gives 38.2 states/eV per cell. Its energy of formation is -21 kJ per mole of atoms.

It has space group Fm-3m (No. 225), with a = 7.839 Å, b = 7.839 Å, c = 7.839 Å, α = 90.00°, β = 90.00° and γ = 90.00°. Symmetry generates all atoms from Mn at (0.000, 0.000, 0.000), Cu at (0.000, 0.000, 0.500) and Pt at (0.000, 0.250, 0.250).



# 2
First-principles (PBE) data for TlAgOs2 after structural relaxation, as listed in Alexandria.

The final energy comes out at -6.09 eV/atom. For the density of states at the Fermi level, the calculation gives 8.0 states/eV per cell. Its energy of formation is 80 kJ per mole of atoms.

It has space group Cmm2 (No. 35), with a = 2.877 Å, b = 4.957 Å, c = 10.099 Å, α = 90.00°, β = 90.00° and γ = 90.00°. Symmetry generates all atoms from Tl at (0.000, 0.000, 0.000), Ag at (0.000, 0.500, 0.277), Os at (0.000, 0.000, 0.525) and Os at (0.000, 0.500, 0.733).



| no. | total moment (μB/cell) |
| --- | --- |
| 1 | 15.54 |
| 2 | 0.02 |